# Mn2Ag2IO6 GGA+U relaxed
data_Mn2Ag2IO6
_cell_length_a 5.6861
_cell_length_b 9.5729
_cell_length_c 6.2938
_cell_angle_alpha 90.00
_cell_angle_beta 113.94
_cell_angle_gamma 90.00
_space_group_name_H-M_alt 'C 1 2/m 1'
_space_group_IT_number 12
loop_
_space_group_symop_operation_xyz
'x,y,z'
'-x,-y,-z'
'-x,y,-z'
'x,-y,z'
'x+1/2,y+1/2,z'
'-x+1/2,-y+1/2,-z'
'-x+1/2,y+1/2,-z'
'x+1/2,-y+1/2,z'
loop_
_atom_site_label
_atom_site_type_symbol
_atom_site_fract_x
_atom_site_fract_y
_atom_site_fract_z
Mn1 Mn 0.0000 0.1646 0.0000
Ag1 Ag 0.0000 0.1879 0.5000
I1 I 0.0000 0.5000 0.0000
O1 O 0.0750 0.3444 0.8159
O2 O 0.1099 0.0000 0.8001
# - magnetization (μB/atom) = 0.863
# - crystal system = monoclinic
# - calculated total energy (eV per atom) = -5.407